Computed, not measured: crystalline La4Fe2C at its relaxed geometry at the GGA-PBE level of DFT.

Formation energy from the elements: 0.150 eV/atom
Calculated total energy: -6.401 eV per atom
Total magnetic moment: 0.000 μB per atom
Crystal system: tetragonal

Lattice parameters (Å, degrees): 5.2411 5.2411 13.5913 90.00 90.00 90.00
With the nearest neighbours (Å) after each atom.
Space group I4/mmm (No. 139)
Symmetry-distinct sites (fractional):
La 0.0000 0.0000 0.2060 x4  1 Fe 2.20
La 0.0000 0.5000 0.0000 x4  2 C 2.62
Fe 0.0000 0.0000 0.3676 x4  1 C 1.80
C 0.0000 0.0000 0.5000 x2  2 Fe 1.80